Entry 1:
This record from OQMD describes crystalline CdSiTc at its relaxed geometry. The functional is GGA-PBE.

Calculated values
M_tot in μB per formula unit: 0.01
ΔE to the lowest computed polymorph in eV/atom: 0.000

```
CdSiTc
1.0
-0.3992 1.8002 3.7605
-0.9606 4.0667 0.2835
-3.7809 1.1679 1.3719
Tc Si Cd
1 1 1
Direct
0.7500 0.7500 0.7500 Tc
0.0000 0.0000 0.0000 Si
0.2500 0.2500 0.2500 Cd
```

Entry 2:
This record from OQMD describes crystalline CdSi2Tc2 at its relaxed geometry. The functional is GGA-PBE.

Calculated values
M_tot in μB per formula unit: 0.02
Total DFT energy (no corrections) in eV per atom: -6.67

```
CdSi2Tc2
1.0
-3.0413 4.1543 -4.7886
-0.8609 -5.5326 -4.2530
-2.6598 -0.5307 1.2288
Tc Si Cd
4 4 2
Direct
0.1547 0.6547 0.5000 Tc
0.3453 0.1547 0.5000 Tc
0.6547 0.8453 0.5000 Tc
0.8453 0.3453 0.5000 Tc
0.1347 0.3653 0.0000 Si
0.8653 0.6347 0.0000 Si
0.6347 0.1347 0.0000 Si
0.3653 0.8653 0.0000 Si
0.5000 0.5000 0.0000 Cd
0.0000 0.0000 0.0000 Cd
```

Entry 3:
This record from OQMD describes crystalline CdSiTe at its relaxed geometry. The functional is GGA-PBE.

Calculated values
ΔE to the lowest computed polymorph in eV/atom: 0.000

```
CdSiTe
1.0
8.8074 0.0000 0.0000
0.0000 4.6124 0.0000
0.0000 0.0000 8.4368
Te Cd Si
4 4 4
Direct
0.6820 0.7500 0.5508 Te
0.1820 0.7500 0.9493 Te
0.8180 0.2500 0.0507 Te
0.3180 0.2500 0.4493 Te
0.9591 0.7500 0.2157 Cd
0.4591 0.7500 0.2843 Cd
0.0409 0.2500 0.7843 Cd
0.5409 0.2500 0.7157 Cd
0.4774 0.7500 0.9631 Si
0.0226 0.2500 0.4631 Si
0.5226 0.2500 0.0369 Si
0.9774 0.7500 0.5369 Si
```

Entry 4:
This record from OQMD describes crystalline CdSi2Te at its relaxed geometry. The functional is GGA-PBE.

Calculated values
Total DFT energy (no corrections) in eV per atom: -3.12

```
CdSi2Te
1.0
-4.2964 -2.2177 0.9815
-1.9788 0.3403 4.5066
-4.0654 2.7031 0.7113
Si Te Cd
2 1 1
Direct
0.2500 0.2500 0.2500 Si
0.0000 0.0000 0.0000 Si
0.7500 0.7500 0.7500 Te
0.5000 0.5000 0.5000 Cd
```

Entry 5:
This record from OQMD describes crystalline CdSiTe at its relaxed geometry. The functional is GGA-PBE.

Calculated values
ΔE to the lowest computed polymorph in eV/atom: 0.127

```
CdSiTe
1.0
-6.0775 -0.3496 3.8645
-1.3324 -2.9273 -2.3603
4.4530 -7.1516 6.3559
Si Cd Te
4 4 4
Direct
0.2679 0.2500 0.4852 Si
0.7679 0.2500 0.0148 Si
0.2321 0.7500 0.9852 Si
0.7321 0.7500 0.5148 Si
0.9472 0.2500 0.6368 Cd
0.5528 0.7500 0.1368 Cd
0.4472 0.2500 0.8632 Cd
0.0528 0.7500 0.3632 Cd
0.1052 0.2500 0.1418 Te
0.6052 0.2500 0.3582 Te
0.3948 0.7500 0.6418 Te
0.8948 0.7500 0.8582 Te
```

Entry 6:
This record from OQMD describes crystalline CdSiTe at its relaxed geometry. The functional is GGA-PBE.

Calculated values
ΔE to the lowest computed polymorph in eV/atom: 0.289

```
CdSiTe
1.0
0.7335 -0.9684 4.6754
-3.1224 -2.7912 2.4073
1.2957 -4.4470 1.3711
Te Si Cd
1 1 1
Direct
0.7500 0.7500 0.7500 Te
0.0000 0.0000 0.0000 Si
0.2500 0.2500 0.2500 Cd
```

Entry 7:
This record from OQMD describes crystalline Tl2Cd2Si3 at its relaxed geometry. The functional is GGA-PBE.

Calculated values
Total DFT energy (no corrections) in eV per atom: -2.79

```
Tl2Cd2Si3
1.0
-7.1608 3.7851 3.7851
-3.7851 3.7851 7.1608
-3.7851 7.1608 3.7851
Cd Tl Si
2 2 3
Direct
0.9875 0.9875 0.9875 Cd
0.4937 0.4937 0.4937 Cd
0.7628 0.7628 0.7628 Tl
0.2409 0.2409 0.2409 Tl
0.3648 0.3648 0.3648 Si
0.6586 0.6586 0.6586 Si
0.8667 0.8667 0.8667 Si
```

Entry 8:
This record from OQMD describes crystalline Zn2CdSi at its relaxed geometry. The functional is GGA-PBE.

Calculated values
Total DFT energy (no corrections) in eV per atom: -1.88

```
Zn2CdSi
1.0
-4.2420 -1.8637 0.0928
-3.5559 2.4179 1.7280
-3.3001 1.6088 -2.8279
Zn Si Cd
2 1 1
Direct
0.7500 0.7500 0.7500 Zn
0.0000 0.0000 0.0000 Zn
0.5000 0.5000 0.5000 Si
0.2500 0.2500 0.2500 Cd
```

Entry 9:
This record from OQMD describes crystalline SmCd11 at its relaxed geometry. The functional is GGA-PBE.

Calculated values
M_tot in μB per formula unit: 0.00
Total DFT energy (no corrections) in eV per atom: -1.36

```
SmCd11
1.0
9.3223 0.0000 0.0000
0.0000 9.3223 0.0000
0.0000 0.0000 9.3223
Cd Sm
33 3
Direct
0.5000 0.2655 0.7345 Cd
0.1565 0.1565 0.8435 Cd
0.5000 0.7345 0.2655 Cd
0.7345 0.5000 0.2655 Cd
0.3445 0.3445 0.0000 Cd
0.8435 0.8435 0.1565 Cd
0.0000 0.3445 0.6555 Cd
0.3445 0.6555 0.0000 Cd
0.5000 0.7345 0.7345 Cd
0.1565 0.1565 0.1565 Cd
0.7345 0.7345 0.5000 Cd
0.2655 0.5000 0.7345 Cd
0.8435 0.1565 0.1565 Cd
0.7345 0.5000 0.7345 Cd
0.5000 0.2655 0.2655 Cd
0.1565 0.8435 0.8435 Cd
0.0000 0.6555 0.3445 Cd
0.1565 0.8435 0.1565 Cd
0.5000 0.5000 0.5000 Cd
0.6555 0.3445 0.0000 Cd
0.0000 0.3445 0.3445 Cd
0.6555 0.6555 0.0000 Cd
0.6555 0.0000 0.6555 Cd
0.8435 0.1565 0.8435 Cd
0.7345 0.2655 0.5000 Cd
0.2655 0.5000 0.2655 Cd
0.3445 0.0000 0.3445 Cd
0.6555 0.0000 0.3445 Cd
0.2655 0.2655 0.5000 Cd
0.0000 0.6555 0.6555 Cd
0.3445 0.0000 0.6555 Cd
0.2655 0.7345 0.5000 Cd
0.8435 0.8435 0.8435 Cd
0.0000 0.5000 0.0000 Sm
0.5000 0.0000 0.0000 Sm
0.0000 0.0000 0.5000 Sm
```

Entry 10:
This record from OQMD describes crystalline Sm2Cd at its relaxed geometry. The functional is GGA-PBE.

Calculated values
M_tot in μB per formula unit: 0.20
Total DFT energy (no corrections) in eV per atom: -3.19

```
Sm2Cd
1.0
3.6875 -5.1423 0.5579
-0.9266 -4.0684 4.7898
-2.3984 -5.7684 -1.1513
Sm Cd
4 2
Direct
0.6250 0.6250 0.6250 Sm
0.1250 0.6250 0.6250 Sm
0.6250 0.1250 0.6250 Sm
0.6250 0.6250 0.1250 Sm
0.2500 0.2500 0.2500 Cd
0.0000 0.0000 0.0000 Cd
```

Entry 11:
This record from OQMD describes crystalline SmCd2 at its relaxed geometry. The functional is GGA-PBE.

Calculated values
M_tot in μB per formula unit: 0.01
Total DFT energy (no corrections) in eV per atom: -2.47

```
SmCd2
1.0
0.0000 4.1872 4.1872
4.1872 0.0000 4.1872
4.1872 4.1872 0.0000
Cd Sm
4 2
Direct
0.6250 0.6250 0.1250 Cd
0.6250 0.1250 0.6250 Cd
0.1250 0.6250 0.6250 Cd
0.6250 0.6250 0.6250 Cd
0.2500 0.2500 0.2500 Sm
0.0000 0.0000 0.0000 Sm
```

Entry 12:
This record from OQMD describes crystalline SmCd2Sn at its relaxed geometry. The functional is GGA-PBE.

Calculated values
M_tot in μB per formula unit: 0.00
Total DFT energy (no corrections) in eV per atom: -3.09

```
SmCd2Sn
1.0
-1.0576 -2.5545 -3.5721
3.8219 -2.3450 0.5454
-2.3242 -3.1106 2.9126
Sm Cd Sn
1 2 1
Direct
0.5000 0.5000 0.5000 Sm
0.5000 0.0000 0.0000 Cd
0.0000 0.5000 0.0000 Cd
0.0000 0.0000 0.5000 Sn
```

Entry 13:
This record from OQMD describes crystalline SrSmCd at its relaxed geometry. The functional is GGA-PBE.

Calculated values
M_tot in μB per formula unit: 0.05
ΔE to the lowest computed polymorph in eV/atom: 0.000

```
SrSmCd
1.0
0.0000 3.8262 3.8262
3.8262 0.0000 3.8262
3.8262 3.8262 0.0000
Sr Sm Cd
1 1 1
Direct
0.7500 0.7500 0.7500 Sr
0.2500 0.2500 0.2500 Sm
0.0000 0.0000 0.0000 Cd
```

Entry 14:
This record from OQMD describes crystalline SrSmCd at its relaxed geometry. The functional is GGA-PBE.

Calculated values
M_tot in μB per formula unit: 0.47
ΔE to the lowest computed polymorph in eV/atom: 0.335

```
SrSmCd
1.0
4.3080 0.0000 0.0000
0.0000 4.3080 0.0000
0.0000 0.0000 6.8742
Sr Cd Sm
1 1 1
Direct
0.5000 0.5000 0.5000 Sr
0.0000 0.0000 0.0000 Cd
0.5000 0.5000 0.0000 Sm
```

Entry 15:
This record from OQMD describes crystalline SmCdTc at its relaxed geometry. The functional is GGA-PBE.

Calculated values
M_tot in μB per formula unit: 1.91
Total DFT energy (no corrections) in eV per atom: -4.24

```
SmCdTc
1.0
4.7103 0.5268 0.6958
1.7750 4.2733 1.2399
1.7051 0.6937 4.4227
Cd Tc Sm
1 1 1
Direct
0.2500 0.2500 0.2500 Cd
0.7500 0.7500 0.7500 Tc
0.0000 0.0000 0.0000 Sm
```

Entry 16:
This record from OQMD describes crystalline SmCdTe at its relaxed geometry. The functional is GGA-PBE.

Calculated values
M_tot in μB per formula unit: 0.01
ΔE to the lowest computed polymorph in eV/atom: 0.105

```
SmCdTe
1.0
1.6827 -1.5017 4.6932
-3.2928 -0.1161 4.0320
-1.5343 -4.5659 1.9776
Te Sm Cd
1 1 1
Direct
0.0000 0.0000 0.0000 Te
0.7500 0.7500 0.7500 Sm
0.2500 0.2500 0.2500 Cd
```

Entry 17:
This record from OQMD describes crystalline SmCdTe at its relaxed geometry. The functional is GGA-PBE.

Calculated values
M_tot in μB per formula unit: 0.10
ΔE to the lowest computed polymorph in eV/atom: 0.000

```
SmCdTe
1.0
0.0000 3.6697 3.6697
3.6697 0.0000 3.6697
3.6697 3.6697 0.0000
Sm Cd Te
1 1 1
Direct
0.0000 0.0000 0.0000 Sm
0.2500 0.2500 0.2500 Cd
0.7500 0.7500 0.7500 Te
```

Entry 18:
This record from OQMD describes crystalline SmTlCdTe3 at its relaxed geometry. The functional is GGA-PBE.

Calculated values
M_tot in μB per formula unit: 0.00
ΔE to the lowest computed polymorph in eV/atom: 0.078

```
SmTlCdTe3
1.0
9.7237 -2.2456 0.0000
9.7237 2.2456 0.0000
-2.3729 0.0000 9.5009
Cd Te Tl Sm
2 6 2 2
Direct
0.4775 0.4775 0.2815 Cd
0.5225 0.5225 0.7185 Cd
0.6750 0.6750 0.8135 Te
0.6612 0.6612 0.3639 Te
0.3388 0.3388 0.6361 Te
0.0000 0.0000 0.5000 Te
0.3250 0.3250 0.1865 Te
0.5000 0.5000 0.0000 Te
0.8646 0.8646 0.9257 Tl
0.1354 0.1354 0.0743 Tl
0.8237 0.8237 0.4077 Sm
0.1763 0.1763 0.5923 Sm
```

Entry 19:
This record from OQMD describes crystalline SmTlCdTe3 at its relaxed geometry. The functional is GGA-PBE.

Calculated values
M_tot in μB per formula unit: 0.01
ΔE to the lowest computed polymorph in eV/atom: 0.014

```
SmTlCdTe3
1.0
8.8887 0.0000 0.0000
0.0000 4.5147 0.0000
-3.3049 0.0000 10.7435
Tl Te Cd Sm
2 6 2 2
Direct
0.2463 0.7500 0.7207 Tl
0.7537 0.2500 0.2793 Tl
0.4407 0.7500 0.1423 Te
0.5593 0.2500 0.8577 Te
0.7511 0.7500 0.5559 Te
0.9459 0.7500 0.1482 Te
0.0541 0.2500 0.8518 Te
0.2489 0.2500 0.4441 Te
0.5780 0.2500 0.6110 Cd
0.4220 0.7500 0.3890 Cd
0.1900 0.2500 0.1397 Sm
0.8100 0.7500 0.8603 Sm
```

Entry 20:
This record from OQMD describes crystalline SmTlCdTe3 at its relaxed geometry. The functional is GGA-PBE.

Calculated values
M_tot in μB per formula unit: 0.00
ΔE to the lowest computed polymorph in eV/atom: 0.071

```
SmTlCdTe3
1.0
-8.6411 -1.5941 0.4311
0.8069 -4.5943 -0.8153
1.4819 -3.0257 18.5156
Te Sm Cd Tl
12 4 4 4
Direct
0.1295 0.7500 0.9395 Te
0.9954 0.7500 0.4233 Te
0.0046 0.2500 0.5767 Te
0.8705 0.2500 0.0605 Te
0.4954 0.7500 0.0767 Te
0.2288 0.2500 0.2082 Te
0.2712 0.7500 0.7082 Te
0.7288 0.2500 0.2918 Te
0.7712 0.7500 0.7918 Te
0.3705 0.2500 0.4395 Te
0.5046 0.2500 0.9233 Te
0.6295 0.7500 0.5605 Te
0.2699 0.7500 0.5408 Sm
0.7699 0.7500 0.9592 Sm
0.2301 0.2500 0.0408 Sm
0.7301 0.2500 0.4592 Sm
0.0713 0.2500 0.3399 Cd
0.5713 0.2500 0.1601 Cd
0.9287 0.7500 0.6601 Cd
0.4287 0.7500 0.8399 Cd
0.9363 0.7500 0.1955 Tl
0.4363 0.7500 0.3045 Tl
0.5637 0.2500 0.6955 Tl
0.0637 0.2500 0.8045 Tl
```

no.,V (Å³ per cell)
1,51.9
2,147.2
3,342.7
4,84.9
5,303.6
6,79.7
7,167.9
8,70.4
9,810.2
10,181.3
11,146.8
12,99.0
13,112.0
14,127.6
15,77.7
16,99.8
17,98.8
18,414.9
19,431.1
20,784.0